DFT (PBE-GGA) results for crystalline AcLaNd3Sm at its relaxed geometry.

Cell and atoms, written as POSCAR:
```
AcLaNd3Sm
1.0
5.919 0.000 0.000
-2.960 10.367 1.678
0.000 -1.257 7.086
Ac La Nd Sm
2 2 6 2
Cartesian
0.000 6.088 8.011
2.960 3.021 0.753
0.000 0.778 2.125
2.960 8.331 6.639
2.960 6.664 2.937
2.960 4.914 6.135
0.000 9.676 3.416
0.000 4.196 2.629
2.960 -0.567 5.348
0.000 2.446 5.827
2.960 2.383 3.954
0.000 6.726 4.810
```

calculated density: 7.0 g cm⁻³
D(E_F): 16.79 states/eV/cell
energy of formation: 0.1677 eV/atom
SG: C2/m, No. 12
total energy: -4.5088 eV/atom
crystal system: monoclinic



DFT (PBE-GGA) results for crystalline AcLa2Nd6Sm at its relaxed geometry.

Cell and atoms, written as POSCAR:
```
AcLa2Nd6Sm
1.0
-2.838 6.034 -7.538
-8.142 0.371 4.149
6.576 5.678 2.857
Ac La Nd Sm
2 4 12 2
Cartesian
-8.578 1.978 2.240
4.174 10.106 -2.773
-3.301 6.993 1.879
-1.344 1.475 1.503
-1.104 5.091 -2.412
-3.060 10.608 -2.036
3.699 4.581 2.220
2.379 7.754 0.221
-8.103 7.502 -2.753
-6.784 4.330 -0.753
-6.023 4.694 2.947
-5.029 1.463 0.998
1.619 7.389 -3.480
0.625 10.620 -1.530
-2.801 3.812 3.461
-3.226 4.158 0.043
-1.604 8.272 -3.993
-1.179 7.926 -0.576
-0.124 5.027 1.498
-4.280 7.057 -2.031
```

calculated density: 6.9 g cm⁻³
D(E_F): 32.25 states/eV/cell
energy of formation: 0.1136 eV/atom
SG: C2/c, No. 15
total energy: -4.6153 eV/atom
crystal system: monoclinic



DFT (PBE-GGA) results for crystalline AcLa3Nd2Sm6 at its relaxed geometry.

Cell and atoms, written as POSCAR:
```
AcLa3Nd2Sm6
1.0
6.424 -0.003 0.011
-3.213 5.563 0.011
-1.091 -1.889 11.970
Ac La Nd Sm
1 3 2 6
Cartesian
0.000 0.000 0.000
-2.144 3.685 5.996
4.263 -0.015 5.996
1.060 1.835 5.996
-0.001 3.708 0.011
3.212 1.852 0.011
3.204 1.809 8.984
2.127 3.683 3.023
-1.084 1.861 3.008
-0.034 3.679 8.984
-0.008 -0.013 8.969
2.154 -0.009 3.008
```

calculated density: 7.1 g cm⁻³
D(E_F): 17.40 states/eV/cell
energy of formation: 0.0171 eV/atom
SG: C2/m, No. 12
total energy: -4.7113 eV/atom
crystal system: monoclinic



DFT (PBE-GGA) results for crystalline Ac5LaNdSm2 at its relaxed geometry.

Cell and atoms, written as POSCAR:
```
Ac5LaNdSm2
1.0
6.042 0.000 0.000
-3.021 10.933 0.000
0.000 0.000 11.278
Ac La Nd Sm
10 2 2 4
Cartesian
0.000 8.224 0.237
3.021 4.902 9.268
0.000 10.596 8.391
0.000 6.541 7.932
3.021 10.683 5.806
3.021 2.708 5.877
0.000 6.031 3.628
3.021 0.337 2.752
3.021 4.392 2.293
0.000 0.250 0.167
3.021 1.996 10.790
0.000 8.937 5.151
3.021 6.751 5.805
0.000 4.181 0.166
3.021 8.456 9.081
0.000 2.534 8.374
0.000 2.476 3.442
3.021 8.398 2.735
```

calculated density: 7.7 g cm⁻³
D(E_F): 28.67 states/eV/cell
energy of formation: 0.1476 eV/atom
SG: Cmc2_1, No. 36
total energy: -4.2608 eV/atom
crystal system: orthorhombic



DFT (PBE-GGA) results for crystalline AcLaNdSm2 at its relaxed geometry.

Cell and atoms, written as POSCAR:
```
AcLaNdSm2
1.0
6.026 0.000 0.000
0.000 6.479 0.903
0.000 1.897 9.806
Ac La Nd Sm
2 2 2 4
Cartesian
4.520 4.048 2.448
1.507 4.327 8.261
4.520 3.464 6.185
1.507 4.912 4.523
1.507 7.315 10.537
4.520 1.061 0.172
4.520 6.531 8.497
1.507 1.845 2.212
1.507 1.351 5.887
4.520 7.025 4.822
```

calculated density: 7.2 g cm⁻³
D(E_F): 16.97 states/eV/cell
energy of formation: 0.0414 eV/atom
SG: P2_1/m, No. 11
total energy: -4.6070 eV/atom
crystal system: monoclinic



DFT (PBE-GGA) results for crystalline AcLa6NdSm2 at its relaxed geometry.

Cell and atoms, written as POSCAR:
```
AcLa6NdSm2
1.0
-1.733 6.296 -7.076
-6.120 -6.019 -3.309
-3.372 5.666 6.415
Ac La Nd Sm
2 12 2 4
Cartesian
-6.400 -3.791 -4.534
-4.826 9.734 0.565
-3.189 4.284 4.091
-5.303 6.451 2.085
-8.036 1.659 -8.060
-5.923 -0.508 -6.054
-2.235 4.560 0.625
-6.899 3.447 3.281
-8.991 1.383 -4.595
-4.327 2.496 -7.250
-6.038 -1.067 -0.257
-5.047 0.771 -2.746
-5.187 7.010 -3.712
-6.178 5.171 -1.223
-4.943 2.405 0.623
-6.283 3.538 -4.592
-7.975 1.951 -1.224
-2.638 -0.235 -0.106
-3.250 3.992 -2.745
-8.588 6.178 -3.863
```

calculated density: 6.7 g cm⁻³
D(E_F): 25.42 states/eV/cell
energy of formation: 0.1077 eV/atom
SG: C2/c, No. 15
total energy: -4.6802 eV/atom
crystal system: monoclinic



DFT (PBE-GGA) results for crystalline AcLaNd2Sm4 at its relaxed geometry.

Cell and atoms, written as POSCAR:
```
AcLaNd2Sm4
1.0
12.713 -0.175 -1.309
-0.168 7.023 -2.458
-7.633 -4.910 9.004
Ac La Nd Sm
2 2 4 8
Cartesian
4.996 -1.572 6.465
-3.901 1.056 3.273
2.456 0.968 2.619
0.000 0.001 0.000
-1.276 -4.997 8.349
2.372 4.479 1.390
-3.985 4.567 2.045
-1.360 -1.486 7.120
3.086 5.219 -2.153
5.665 -0.852 2.874
-0.752 2.790 2.361
1.828 -3.281 7.390
1.742 0.210 6.168
5.581 2.680 1.640
-0.670 -0.743 3.597
3.169 1.727 -0.930
```

calculated density: 7.2 g cm⁻³
D(E_F): 25.27 states/eV/cell
energy of formation: 0.0246 eV/atom
SG: P-1, No. 2
total energy: -4.6564 eV/atom
crystal system: triclinic



DFT (PBE-GGA) results for crystalline AcLaNd6Sm2 at its relaxed geometry.

Cell and atoms, written as POSCAR:
```
AcLaNd6Sm2
1.0
-7.850 -5.997 1.367
4.103 -2.708 7.755
-5.113 7.625 0.170
Ac La Nd Sm
2 2 12 4
Cartesian
1.891 -3.928 7.892
-10.751 2.848 1.400
-3.319 1.914 3.603
-5.541 -2.994 5.689
-3.760 5.040 1.137
-6.950 3.355 2.717
-5.099 -6.119 8.155
-1.910 -4.435 6.575
-0.750 -1.212 8.076
0.760 -2.415 4.603
-8.110 0.132 1.216
-9.620 1.335 4.689
-0.581 1.158 5.726
-2.423 -1.405 4.473
-8.279 -2.238 3.566
-6.437 0.325 4.819
-3.810 0.377 7.005
-0.080 0.370 2.464
-5.050 -1.457 2.287
-8.780 -1.450 6.828
```

calculated density: 6.9 g cm⁻³
D(E_F): 29.87 states/eV/cell
energy of formation: 0.1144 eV/atom
SG: C2/c, No. 15
total energy: -4.5937 eV/atom
crystal system: monoclinic



DFT (PBE-GGA) results for crystalline AcLa3NdSm at its relaxed geometry.

Cell and atoms, written as POSCAR:
```
AcLa3NdSm
1.0
6.005 0.000 0.000
-3.003 10.493 1.657
0.000 -1.269 7.010
Ac La Nd Sm
2 6 2 2
Cartesian
0.000 6.147 7.880
3.003 3.077 0.788
3.003 6.865 2.842
3.003 4.979 5.944
0.000 9.847 3.334
0.000 4.245 2.724
3.003 -0.623 5.334
0.000 2.359 5.826
0.000 0.842 2.151
3.003 8.382 6.517
3.003 2.307 3.970
0.000 6.917 4.697
```

calculated density: 6.9 g cm⁻³
D(E_F): 17.39 states/eV/cell
energy of formation: 0.1612 eV/atom
SG: C2/m, No. 12
total energy: -4.5684 eV/atom
crystal system: monoclinic



DFT (PBE-GGA) results for crystalline Ac5LaNd2Sm at its relaxed geometry.

Cell and atoms, written as POSCAR:
```
Ac5LaNd2Sm
1.0
-2.231 -3.452 8.504
8.500 -4.077 0.575
-0.063 10.677 -0.928
Ac La Nd Sm
10 2 4 2
Cartesian
1.562 -2.023 7.899
-0.192 4.849 4.983
4.644 5.172 0.252
0.206 6.919 0.682
4.246 3.102 4.553
6.000 -3.770 7.469
1.960 0.047 3.598
6.398 -1.700 3.168
3.135 -3.764 4.539
0.000 0.000 0.000
1.536 3.456 1.806
4.670 -0.308 6.345
3.061 -1.969 1.166
-0.421 -2.560 5.258
6.690 -4.969 3.821
3.208 -5.559 7.913
5.786 1.418 2.093
0.420 1.731 6.058
```

calculated density: 7.6 g cm⁻³
D(E_F): 34.40 states/eV/cell
energy of formation: 0.2840 eV/atom
SG: I4/mcm, No. 140
total energy: -4.1298 eV/atom
crystal system: tetragonal



DFT (PBE-GGA) results for crystalline AcLaNd2Sm5 at its relaxed geometry.

Cell and atoms, written as POSCAR:
```
AcLaNd2Sm5
1.0
8.964 0.000 0.000
0.000 8.964 0.000
-4.482 -4.482 8.041
Ac La Nd Sm
2 2 4 10
Cartesian
0.000 0.000 4.020
4.482 4.482 4.020
0.000 4.482 4.020
4.482 0.000 4.020
1.067 3.415 0.000
5.549 1.067 0.000
3.415 7.897 0.000
7.897 5.549 0.000
7.154 2.672 2.124
2.672 -1.810 5.917
-2.672 1.810 5.917
-1.810 -2.672 5.917
1.810 2.672 5.917
6.292 7.154 2.124
2.672 1.810 2.124
1.810 6.292 2.124
4.482 4.482 0.000
0.000 0.000 0.000
```

calculated density: 7.2 g cm⁻³
D(E_F): 22.47 states/eV/cell
energy of formation: 0.2228 eV/atom
SG: I4/mcm, No. 140
total energy: -4.4625 eV/atom
crystal system: tetragonal



DFT (PBE-GGA) results for crystalline AcLa3TbNd at its relaxed geometry.

Cell and atoms, written as POSCAR:
```
AcLa3TbNd
1.0
5.996 0.000 0.000
-2.998 10.463 1.646
0.000 -1.272 7.001
Ac La Tb Nd
2 6 2 2
Cartesian
0.000 6.122 7.905
2.998 3.070 0.742
2.998 6.822 2.864
2.998 4.971 5.939
0.000 9.827 3.346
0.000 4.220 2.708
2.998 -0.636 5.301
0.000 2.369 5.782
2.998 2.309 3.930
0.000 6.883 4.717
0.000 0.837 2.152
2.998 8.354 6.495
```

calculated density: 7.0 g cm⁻³
D(E_F): 17.38 states/eV/cell
energy of formation: 0.1655 eV/atom
SG: C2/m, No. 12
total energy: -4.5493 eV/atom
crystal system: monoclinic